No. 1
This record from Alexandria describes a PBEsol-optimized structure of Zn2ReOs. The functional is meta-GGA SCAN.

Properties
The calculation puts the calculated volume at 57.3 Å³/cell. The calculation puts the formation energy at 0.252 eV/atom. The space group is Cmm2, No. 35. Its energy is -169.00 eV for the cell shown. The calculation puts the energy above the most stable polymorph in this dataset at 240.7 meV/atom.

abc: 2.6961 2.6961 8.8608
angles: 90.00 90.00 117.22
Sites, in units of the cell vectors:
1 Os 0.0000 0.0000 0.4982
2 Re 0.5000 0.5000 0.2538
3 Zn 0.0000 0.0000 0.9970
4 Zn 0.5000 0.5000 0.7511

No. 2
This record from Alexandria describes a PBEsol-optimized structure of ZnRe2Os. The functional is meta-GGA SCAN.

Properties
The calculation puts the calculated volume at 57.0 Å³/cell. The calculation puts the formation energy at 0.230 eV/atom. The space group is C2/m, No. 12. Its energy is -226.67 eV for the cell shown.

abc: 2.7390 4.6201 4.7776
angles: 100.06 106.66 90.00
Sites, in units of the cell vectors:
1 Os 0.0000 0.5000 0.0000
2 Re 0.2580 0.2568 0.5161
3 Re 0.7420 0.7432 0.4839
4 Zn 0.5000 0.0000 0.0000

No. 3
This record from Alexandria describes a PBEsol-optimized structure of Zn2ReOs. The functional is meta-GGA SCAN.

Properties
The calculation puts the calculated volume at 56.1 Å³/cell. The calculation puts the formation energy at 0.411 eV/atom. The space group is P4/mmm, No. 123. Its energy is -168.37 eV for the cell shown. The calculation puts the energy above the most stable polymorph in this dataset at 399.4 meV/atom.

abc: 3.6990 3.6990 4.0997
angles: 90.00 90.00 90.00
Sites, in units of the cell vectors:
1 Os 0.5000 0.5000 0.5000
2 Re 0.0000 0.0000 0.5000
3 Zn 0.0000 0.5000 0.0000
4 Zn 0.5000 0.0000 0.0000

No. 4
This record from Alexandria describes a PBEsol-optimized structure of Zn2ReOs. The functional is meta-GGA SCAN.

Properties
The calculation puts the calculated volume at 55.1 Å³/cell. The calculation puts the formation energy at 0.198 eV/atom. The space group is I-4m2, No. 119. Its energy is -169.21 eV for the cell shown. The calculation puts the energy above the most stable polymorph in this dataset at 187.0 meV/atom.

abc: 4.0433 4.4203 4.0433
angles: 117.22 90.00 117.22
Sites, in units of the cell vectors:
1 Os 0.5000 0.0000 0.5000
2 Re 0.2500 0.5000 0.7500
3 Zn 0.0000 0.0000 0.0000
4 Zn 0.7500 0.5000 0.2500

Q: Look up the calculated volume of the second one.
A: 57.0 Å³/cell

Q: Which formula does entry 3 have?
A: Zn2ReOs